Computed, not measured: a geometry-optimized ThMgCd4 structure at the PBE-GGA level of DFT.

The structure in POSCAR format:
```
ThMgCd4
1.0
4.917 0.000 0.000
-2.459 4.258 0.000
0.000 0.000 6.925
Th Mg Cd
1 1 4
Direct
0.000 0.000 0.000
0.000 0.000 0.500
0.333 0.667 0.258
0.333 0.667 0.742
0.667 0.333 0.258
0.667 0.333 0.742
```

Its space group is No. 191. The crystal system is hexagonal. The total energy comes out at -2.25 eV/atom.

***

Computed, not measured: a geometry-optimized ErTmH2Br2 structure at the PBE-GGA level of DFT.

The structure in POSCAR format:
```
ErTmH2Br2
1.0
6.511 0.000 0.000
0.000 3.758 0.000
-2.105 0.000 9.979
Er Tm H Br
2 2 4 4
Direct
0.000 0.000 0.000
0.500 0.500 0.000
0.248 0.000 0.735
0.748 0.500 0.735
0.318 0.000 0.951
0.430 0.500 0.783
0.818 0.500 0.951
0.930 0.000 0.783
0.021 0.500 0.550
0.227 0.500 0.186
0.521 0.000 0.550
0.727 0.000 0.186
```

Its space group is No. 8. The crystal system is monoclinic. The total energy comes out at -4.41 eV/atom.

***

Computed, not measured: a geometry-optimized LiZrTe4Au3 structure at the PBE-GGA level of DFT.

The structure in POSCAR format:
```
LiZrTe4Au3
1.0
6.208 0.000 0.000
0.000 9.709 0.000
-0.690 0.000 9.291
Li Zr Te Au
2 2 8 6
Direct
0.034 0.250 0.428
0.966 0.750 0.572
0.251 0.750 0.259
0.749 0.250 0.741
0.005 0.009 0.727
0.005 0.491 0.727
0.477 0.750 0.521
0.483 0.250 0.981
0.517 0.750 0.019
0.523 0.250 0.479
0.995 0.509 0.273
0.995 0.991 0.273
0.186 0.573 0.993
0.186 0.927 0.993
0.244 0.250 0.698
0.756 0.750 0.302
0.814 0.073 0.007
0.814 0.427 0.007
```

The polymorph energy (0 for the lowest one) comes out at 71 meV per atom. Its space group is No. 11. The crystal system is monoclinic. The total energy comes out at -4.09 eV/atom.

***

Computed, not measured: a geometry-optimized LiGaCuIr structure at the PBE-GGA level of DFT.

The structure in POSCAR format:
```
LiGaCuIr
1.0
5.968 0.000 0.000
0.000 5.968 0.000
0.000 0.000 5.968
Li Ga Cu Ir
4 4 4 4
Direct
0.000 0.000 0.000
0.000 0.500 0.500
0.500 0.000 0.500
0.500 0.500 0.000
0.250 0.250 0.250
0.250 0.750 0.750
0.750 0.250 0.750
0.750 0.750 0.250
0.250 0.250 0.750
0.250 0.750 0.250
0.750 0.250 0.250
0.750 0.750 0.750
0.000 0.000 0.500
0.000 0.500 0.000
0.500 0.000 0.000
0.500 0.500 0.500
```

The polymorph energy (0 for the lowest one) comes out at 0 meV per atom. Its space group is No. 216. The crystal system is cubic. The total energy comes out at -4.72 eV/atom.

***

Computed, not measured: a geometry-optimized DyEr2Pd2PtPb3 structure at the PBE-GGA level of DFT.

The structure in POSCAR format:
```
DyEr2Pd2PtPb3
1.0
3.897 0.000 0.000
0.000 6.753 3.892
0.000 -6.753 3.892
Dy Er Pd Pt Pb
1 2 2 1 3
Direct
0.000 0.000 0.000
0.000 0.396 0.791
0.000 0.791 0.396
0.500 0.063 0.727
0.500 0.727 0.063
0.000 0.397 0.397
0.500 0.127 0.396
0.500 0.396 0.127
0.500 0.665 0.665
```

Its space group is No. 38. The crystal system is orthorhombic. The total energy comes out at -5.32 eV/atom.

***

Computed, not measured: a geometry-optimized Nd2Ho2CBr3Cl2 structure at the PBE-GGA level of DFT.

The structure in POSCAR format:
```
Nd2Ho2CBr3Cl2
1.0
8.726 -1.904 0.000
8.726 1.904 0.000
-1.952 0.000 7.884
Nd Ho C Br Cl
2 2 1 3 2
Direct
0.148 0.148 0.078
0.852 0.852 0.922
0.499 0.499 0.201
0.501 0.501 0.799
0.000 0.000 0.000
0.000 0.000 0.500
0.336 0.336 0.640
0.664 0.664 0.360
0.335 0.335 0.176
0.665 0.665 0.824
```

The polymorph energy (0 for the lowest one) comes out at 8 meV per atom. Its space group is No. 12. The crystal system is monoclinic. The total energy comes out at -5.19 eV/atom.

***

Computed, not measured: a geometry-optimized Li4Zn2NiAu structure at the PBE-GGA level of DFT.

The structure in POSCAR format:
```
Li4Zn2NiAu
1.0
4.240 0.000 0.000
0.000 4.240 0.000
0.000 0.000 6.023
Li Zn Ni Au
4 2 1 1
Direct
0.000 0.000 0.000
0.000 0.500 0.241
0.500 0.000 0.759
0.500 0.500 0.500
0.000 0.500 0.778
0.500 0.000 0.222
0.500 0.500 0.000
0.000 0.000 0.500
```

Its space group is No. 115. The crystal system is tetragonal. The total energy comes out at -2.66 eV/atom.

***

Computed, not measured: a geometry-optimized RbPrCdTe3 structure at the PBE-GGA level of DFT.

The structure in POSCAR format:
```
RbPrCdTe3
1.0
2.306 -8.217 0.000
2.306 8.217 0.000
0.000 0.000 12.138
Rb Pr Cd Te
2 2 2 6
Direct
0.249 0.751 0.750
0.751 0.249 0.250
0.000 0.000 0.000
0.000 0.000 0.500
0.463 0.537 0.250
0.537 0.463 0.750
0.072 0.928 0.250
0.369 0.631 0.055
0.369 0.631 0.445
0.631 0.369 0.555
0.631 0.369 0.945
0.928 0.072 0.750
```

The polymorph energy (0 for the lowest one) comes out at 0 meV per atom. Its space group is No. 63. The crystal system is orthorhombic. The total energy comes out at -3.77 eV/atom.

***

Computed, not measured: a geometry-optimized BaCdGaAu structure at the PBE-GGA level of DFT.

The structure in POSCAR format:
```
BaCdGaAu
1.0
7.574 0.000 0.000
0.000 7.574 0.000
0.000 0.000 7.574
Ba Cd Ga Au
4 4 4 4
Direct
0.000 0.000 0.000
0.000 0.500 0.500
0.500 0.000 0.500
0.500 0.500 0.000
0.250 0.250 0.250
0.250 0.750 0.750
0.750 0.250 0.750
0.750 0.750 0.250
0.000 0.000 0.500
0.000 0.500 0.000
0.500 0.000 0.000
0.500 0.500 0.500
0.250 0.250 0.750
0.250 0.750 0.250
0.750 0.250 0.250
0.750 0.750 0.750
```

The polymorph energy (0 for the lowest one) comes out at 38 meV per atom. Its space group is No. 216. The crystal system is cubic. The total energy comes out at -2.53 eV/atom.

***

Computed, not measured: a geometry-optimized Y2Zr4Cu3N3 structure at the PBE-GGA level of DFT.

The structure in POSCAR format:
```
Y2Zr4Cu3N3
1.0
4.945 -2.860 0.000
4.945 2.860 0.000
-3.379 0.000 13.790
Y Zr Cu N
4 8 6 6
Direct
0.041 0.875 0.618
0.125 0.959 0.882
0.875 0.041 0.118
0.959 0.125 0.382
0.194 0.357 0.087
0.298 0.478 0.414
0.357 0.194 0.587
0.478 0.298 0.914
0.522 0.702 0.086
0.643 0.806 0.413
0.702 0.522 0.586
0.806 0.643 0.913
0.085 0.400 0.750
0.400 0.085 0.250
0.427 0.573 0.250
0.573 0.427 0.750
0.600 0.915 0.750
0.915 0.600 0.250
0.000 0.500 0.500
0.168 0.663 0.000
0.337 0.832 0.500
0.500 0.000 0.000
0.663 0.168 0.500
0.832 0.337 0.000
```

Its space group is No. 15. The crystal system is monoclinic. The total energy comes out at -7.82 eV/atom.

***

Computed, not measured: a geometry-optimized PmAgGe structure at the PBE-GGA level of DFT.

The structure in POSCAR format:
```
PmAgGe
1.0
7.352 0.000 0.000
0.000 4.372 0.000
0.000 0.000 8.301
Pm Ag Ge
4 4 4
Direct
0.022 0.250 0.190
0.478 0.750 0.690
0.522 0.250 0.310
0.978 0.750 0.810
0.149 0.250 0.561
0.351 0.750 0.061
0.649 0.250 0.939
0.851 0.750 0.439
0.244 0.750 0.383
0.256 0.250 0.883
0.744 0.750 0.117
0.756 0.250 0.617
```

The polymorph energy (0 for the lowest one) comes out at 0 meV per atom. Its space group is No. 62. The crystal system is orthorhombic. The total energy comes out at -4.69 eV/atom.

***

Computed, not measured: a geometry-optimized Sr2ScPtS6 structure at the PBE-GGA level of DFT.

The structure in POSCAR format:
```
Sr2ScPtS6
1.0
6.165 0.000 0.000
2.691 6.036 0.000
2.847 1.664 5.908
Sr Sc Pt S
2 1 1 6
Direct
0.249 0.223 0.260
0.751 0.777 0.740
0.500 0.500 0.500
0.000 0.000 0.000
0.144 0.332 0.782
0.247 0.843 0.676
0.341 0.765 0.163
0.659 0.235 0.837
0.753 0.157 0.324
0.856 0.668 0.218
```

Its space group is No. 2. The crystal system is triclinic. The total energy comes out at -5.27 eV/atom.

***

Computed, not measured: a geometry-optimized PrNdAsCl structure at the PBE-GGA level of DFT.

The structure in POSCAR format:
```
PrNdAsCl
1.0
4.182 0.000 0.000
-2.091 3.622 0.000
0.000 0.000 14.423
Pr Nd As Cl
2 2 2 2
Direct
0.000 0.000 0.141
0.000 0.000 0.859
0.667 0.333 0.361
0.667 0.333 0.639
0.333 0.667 0.253
0.333 0.667 0.747
0.000 0.000 0.500
0.667 0.333 0.000
```

Its space group is No. 187. The crystal system is hexagonal. The total energy comes out at -5.53 eV/atom.

***

Computed, not measured: a geometry-optimized PmTcIr structure at the PBE-GGA level of DFT.

The structure in POSCAR format:
```
PmTcIr
1.0
6.452 0.000 0.000
0.000 6.452 0.000
0.000 0.000 6.452
Pm Tc Ir
4 4 4
Direct
0.000 0.000 0.000
0.000 0.500 0.500
0.500 0.000 0.500
0.500 0.500 0.000
0.000 0.000 0.500
0.000 0.500 0.000
0.500 0.000 0.000
0.500 0.500 0.500
0.250 0.250 0.250
0.250 0.750 0.750
0.750 0.250 0.750
0.750 0.750 0.250
```

The polymorph energy (0 for the lowest one) comes out at 0 meV per atom. Its space group is No. 216. The crystal system is cubic. The calculated formation energy comes out at 0.353 eV per atom. The total energy comes out at -7.63 eV/atom.

***

Computed, not measured: a geometry-optimized SbOsNO structure at the PBE-GGA level of DFT.

The structure in POSCAR format:
```
SbOsNO
1.0
6.056 0.000 0.000
0.000 7.703 0.000
0.000 0.000 5.088
Sb Os N O
4 4 4 4
Direct
0.067 0.190 0.000
0.433 0.190 0.500
0.567 0.810 0.000
0.933 0.810 0.500
0.046 0.565 0.033
0.454 0.565 0.533
0.546 0.435 0.033
0.954 0.435 0.533
0.150 0.623 0.663
0.350 0.623 0.163
0.650 0.377 0.663
0.850 0.377 0.163
0.032 0.832 0.122
0.468 0.832 0.622
0.532 0.168 0.122
0.968 0.168 0.622
```

The polymorph energy (0 for the lowest one) comes out at 83 meV per atom. Its space group is No. 29. The crystal system is orthorhombic. The total energy comes out at -7.10 eV/atom.

***

Computed, not measured: a geometry-optimized PuNi structure at the PBE-GGA level of DFT.

The structure in POSCAR format:
```
PuNi
1.0
4.614 0.000 0.000
-2.307 3.996 0.000
0.000 0.000 5.404
Pu Ni
2 2
Direct
0.333 0.667 0.250
0.667 0.333 0.750
0.333 0.667 0.750
0.667 0.333 0.250
```

Its space group is No. 194. The crystal system is hexagonal. The calculated formation energy comes out at 0.355 eV per atom. The total energy comes out at -9.49 eV/atom.

***

Computed, not measured: a geometry-optimized SmYSi4Os2 structure at the PBE-GGA level of DFT.

The structure in POSCAR format:
```
SmYSi4Os2
1.0
4.445 0.000 0.000
0.000 4.109 0.000
-1.665 0.000 7.997
Sm Y Si Os
1 1 4 2
Direct
0.000 0.000 0.000
0.822 0.500 0.595
0.078 0.500 0.295
0.376 0.000 0.709
0.451 0.500 0.890
0.749 0.000 0.306
0.297 0.000 0.415
0.531 0.500 0.186
```

Its space group is No. 6. The crystal system is monoclinic. The total energy comes out at -7.66 eV/atom.

***

Computed, not measured: a geometry-optimized CsLuNiTe3 structure at the PBE-GGA level of DFT.

The structure in POSCAR format:
```
CsLuNiTe3
1.0
10.376 0.000 0.000
0.000 4.252 0.000
-4.561 0.000 9.612
Cs Lu Ni Te
2 2 2 6
Direct
0.219 0.250 0.251
0.781 0.750 0.749
0.326 0.750 0.860
0.674 0.250 0.140
0.097 0.250 0.615
0.903 0.750 0.385
0.121 0.250 0.862
0.169 0.750 0.535
0.481 0.750 0.171
0.519 0.250 0.829
0.831 0.250 0.465
0.879 0.750 0.138
```

The polymorph energy (0 for the lowest one) comes out at 1 meV per atom. Its space group is No. 11. The crystal system is monoclinic. The total energy comes out at -4.30 eV/atom.

***

Computed, not measured: a geometry-optimized ErTm2Zn3Pt2Au structure at the PBE-GGA level of DFT.

The structure in POSCAR format:
```
ErTm2Zn3Pt2Au
1.0
3.783 0.000 0.000
0.000 6.355 3.663
0.000 -6.355 3.663
Er Tm Zn Pt Au
1 2 3 2 1
Direct
0.000 0.000 0.000
0.000 0.408 0.815
0.000 0.815 0.408
0.500 0.146 0.408
0.500 0.408 0.146
0.500 0.671 0.671
0.500 0.075 0.740
0.500 0.740 0.075
0.000 0.409 0.409
```

Its space group is No. 38. The crystal system is orthorhombic. The calculated formation energy comes out at -0.898 eV per atom. The total energy comes out at -4.53 eV/atom.

***

Computed, not measured: a geometry-optimized Ho3Mg3AlTl2 structure at the PBE-GGA level of DFT.

The structure in POSCAR format:
```
Ho3Mg3AlTl2
1.0
7.468 0.000 0.000
-3.734 6.468 0.000
0.000 0.000 4.605
Ho Mg Al Tl
3 3 1 2
Direct
0.000 0.429 0.000
0.429 0.000 0.000
0.571 0.571 0.000
0.000 0.764 0.500
0.236 0.236 0.500
0.764 0.000 0.500
0.000 0.000 0.000
0.333 0.667 0.500
0.667 0.333 0.500
```

Its space group is No. 189. The crystal system is hexagonal. The total energy comes out at -3.29 eV/atom.